# 1
First-principles (GGA-PBEsol) data for crystalline CuSb2IrI at its relaxed geometry, as listed in Alexandria via LeMat-Bulk.

Output
Its density of states at the Fermi level is 0.690 states/eV per atom. The calculation puts the uncorrected formation energy at 1173.8 meV per atom. Its crystal system is tetragonal. As for the volume: 23.500 Å³/atom. As for the raw total energy: -3.834 eV/atom.

The structure in CIF format:
```
data_CuSb2IrI
_chemical_formula_sum 'Cu1 Sb2 Ir1 I1'
_cell_length_a 4.832
_cell_length_b 4.832
_cell_length_c 5.033
_cell_angle_alpha 90.00
_cell_angle_beta 90.00
_cell_angle_gamma 90.00
_symmetry_space_group_name_H-M 'P 4/m m m'
_symmetry_Int_Tables_number 123
_symmetry_space_group_name_Hall '-P 4 2'
loop_
_atom_site_label
_atom_site_type_symbol
_atom_site_fract_x
_atom_site_fract_y
_atom_site_fract_z
Cu1 Cu 0.000 0.000 0.000
Sb1 Sb 0.000 0.500 0.000
Ir1 Ir 0.500 0.500 0.500
I1 I 0.000 0.000 0.500
```


# 2
First-principles (GGA-PBEsol) data for crystalline RbGeB3 at its relaxed geometry, as listed in Alexandria via LeMat-Bulk.

Output
Its density of states at the Fermi level is 0.895 states/eV per atom. As for the formation energy: 328.3 kJ/mol of atoms. Its crystal system is cubic. As for the volume: 20.369 Å³/atom. As for the raw total energy: -2.000 eV/atom.

The structure in CIF format:
```
data_RbGeB3
_chemical_formula_sum 'Rb1 Ge1 B3'
_cell_length_a 4.670
_cell_length_b 4.670
_cell_length_c 4.670
_cell_angle_alpha 90.00
_cell_angle_beta 90.00
_cell_angle_gamma 90.00
_symmetry_space_group_name_H-M 'P m -3 m'
_symmetry_Int_Tables_number 221
_symmetry_space_group_name_Hall '-P 4 2 3'
loop_
_atom_site_label
_atom_site_type_symbol
_atom_site_fract_x
_atom_site_fract_y
_atom_site_fract_z
Rb1 Rb 0.000 0.000 0.000
Ge1 Ge 0.500 0.500 0.500
B1 B 0.000 0.000 0.500
```


# 3
First-principles (GGA-PBEsol) data for crystalline Ru3Rh at its relaxed geometry, as listed in Alexandria via LeMat-Bulk.

Output
Its density of states at the Fermi level is 0.968 states/eV per atom. As for the formation energy: 5.1 kJ/mol of atoms. Its crystal system is orthorhombic. As for the volume: 13.343 Å³/atom. As for the raw total energy: -9.611 eV/atom.

The structure in CIF format:
```
data_Ru3Rh
_chemical_formula_sum 'Ru12 Rh4'
_cell_length_a 4.633
_cell_length_b 8.612
_cell_length_c 5.350
_cell_angle_alpha 90.00
_cell_angle_beta 90.00
_cell_angle_gamma 90.00
_symmetry_space_group_name_H-M 'P n m a'
_symmetry_Int_Tables_number 62
loop_
_symmetry_equiv_pos_as_xyz
'x,y,z'
'-x,-y,-z'
'-x+1/2,-y,z+1/2'
'x+1/2,y,-z+1/2'
'x+1/2,-y+1/2,-z+1/2'
'-x+1/2,y+1/2,z+1/2'
'-x,y+1/2,-z'
'x,-y+1/2,z'
loop_
_atom_site_label
_atom_site_type_symbol
_atom_site_fract_x
_atom_site_fract_y
_atom_site_fract_z
Ru1 Ru 0.083 0.250 0.126
Ru2 Ru 0.247 0.502 0.874
Rh1 Rh 0.084 0.250 0.624
```